No. 1
The following is a PBE calculation of Y6Sb2Te3S after structural relaxation, from Alexandria.

V   28.380 Å³/atom
Total energy   -77.38 eV/cell
Symmetry   No. 12

Structure (POSCAR):
```
Y6Sb2Te3S
1.0
9.466 -2.140 0.000
9.466 2.140 0.000
-2.088 0.000 8.407
Y Sb Te S
6 2 3 1
Direct
0.000 0.000 0.214
0.000 0.000 0.786
0.333 0.333 0.424
0.352 0.352 0.923
0.648 0.648 0.077
0.667 0.667 0.576
0.166 0.166 0.330
0.834 0.834 0.670
0.171 0.171 0.837
0.500 0.500 0.500
0.829 0.829 0.163
0.500 0.500 0.000
```

=====

No. 2
The following is a PBE calculation of YSb2TeS after structural relaxation, from Alexandria.

V   38.605 Å³/atom
Symmetry   No. 123
Excess energy over the best structure of this formula in the dataset   57.7 kJ per mole of atoms

Structure (POSCAR):
```
YSb2TeS
1.0
5.836 0.000 0.000
0.000 5.836 0.000
0.000 0.000 5.668
Y Sb Te S
1 2 1 1
Direct
0.000 0.000 0.000
0.000 0.500 0.000
0.500 0.000 0.000
0.000 0.000 0.500
0.500 0.500 0.500
```

=====

| no. | M_tot (Bohr magnetons per cell) |
| --- | --- |
| 1 | 0.0 |
| 2 | 1.0 |